Record 1
! Mn5Pb3N12 | Alexandria via LeMat-Bulk | PBE-GGA | relaxed; values from VASP
&SYSTEM
  ibrav = 0, nat = 80, ntyp = 3
/
ATOMIC_SPECIES
Pb 207.20 Pb.upf
Mn 54.94 Mn.upf
N 14.01 N.upf
ATOMIC_POSITIONS crystal
Pb 0.7500 0.3750 0.1250
Pb 0.8750 0.7500 0.1250
Pb 0.3750 0.7500 0.6250
Pb 0.2500 0.1250 0.3750
Pb 0.8750 0.1250 0.2500
Pb 0.3750 0.6250 0.2500
Pb 0.6250 0.3750 0.7500
Pb 0.1250 0.8750 0.7500
Pb 0.7500 0.8750 0.6250
Pb 0.6250 0.2500 0.3750
Pb 0.1250 0.2500 0.8750
Pb 0.2500 0.6250 0.8750
Mn 0.1250 0.3750 0.2500
Mn 0.0000 0.5000 0.0000
Mn 0.0000 0.0000 0.0000
Mn 0.3750 0.2500 0.1250
Mn 0.5000 0.0000 0.5000
Mn 0.5000 0.5000 0.0000
Mn 0.1250 0.7500 0.3750
Mn 0.7500 0.1250 0.8750
Mn 0.7500 0.6250 0.3750
Mn 0.3750 0.1250 0.7500
Mn 0.6250 0.8750 0.2500
Mn 0.5000 0.5000 0.5000
Mn 0.5000 0.0000 0.0000
Mn 0.0000 0.0000 0.5000
Mn 0.2500 0.3750 0.6250
Mn 0.2500 0.8750 0.1250
Mn 0.0000 0.5000 0.5000
Mn 0.8750 0.2500 0.6250
Mn 0.6250 0.7500 0.8750
Mn 0.8750 0.6250 0.7500
N 0.6868 0.1066 0.9981
N 0.3113 0.4981 0.3915
N 0.0019 0.3934 0.3132
N 0.4981 0.1868 0.1066
N 0.5801 0.6868 0.6887
N 0.0019 0.6085 0.1887
N 0.3113 0.8132 0.4199
N 0.1085 0.9199 0.1066
N 0.6085 0.0019 0.6887
N 0.6868 0.5801 0.1887
N 0.8132 0.5019 0.3934
N 0.8113 0.8915 0.9981
N 0.1066 0.6868 0.4981
N 0.3934 0.3915 0.0801
N 0.0801 0.8915 0.3934
N 0.4199 0.1066 0.6085
N 0.0801 0.1887 0.1868
N 0.5019 0.6887 0.1085
N 0.8113 0.9199 0.3132
N 0.1066 0.4199 0.1085
N 0.3934 0.0019 0.8132
N 0.6085 0.6066 0.4199
N 0.8915 0.8113 0.4981
N 0.8132 0.3113 0.9199
N 0.3915 0.3934 0.5801
N 0.1085 0.1887 0.5019
N 0.1868 0.6887 0.0801
N 0.1887 0.0801 0.6868
N 0.6066 0.9981 0.1868
N 0.8934 0.5801 0.8915
N 0.4981 0.3113 0.8915
N 0.5801 0.8934 0.3915
N 0.9199 0.8113 0.8132
N 0.9199 0.1085 0.6066
N 0.8934 0.3132 0.5019
N 0.1887 0.1085 0.0019
N 0.6066 0.6085 0.9199
N 0.3915 0.9981 0.3113
N 0.3132 0.4199 0.8113
N 0.1868 0.4981 0.6066
N 0.8915 0.0801 0.8934
N 0.6887 0.1868 0.5801
N 0.5019 0.8132 0.8934
N 0.9981 0.3915 0.8113
N 0.4199 0.3132 0.3113
N 0.9981 0.6066 0.6868
N 0.6887 0.5019 0.6085
N 0.3132 0.8934 0.0019
CELL_PARAMETERS angstrom
-7.7199 7.1494 2.6048
-4.0453 -10.0420 0.5373
8.2794 0.9358 6.9333
! Electronic total energy = -597.35 eV per cell
! Space group = Ia-3d
! Density = 7211 kg/m3


Record 2
! NiBiHN2 | Alexandria via LeMat-Bulk | PBE-GGA | relaxed; values from VASP
&SYSTEM
  ibrav = 0, nat = 5, ntyp = 4
/
ATOMIC_SPECIES
Ni 58.69 Ni.upf
Bi 208.98 Bi.upf
H 1.01 H.upf
N 14.01 N.upf
ATOMIC_POSITIONS crystal
Ni 0.0000 0.5000 0.0000
Bi 0.0000 0.0000 0.0000
H 0.5000 0.5000 0.5000
N 0.0000 0.0000 0.5000
N 0.5000 0.0000 0.0000
CELL_PARAMETERS angstrom
4.4370 0.0000 0.0000
0.0000 5.0789 0.0000
0.0000 0.0000 4.4370
! Electronic total energy = -17.90 eV per cell
! Space group = P4/mmm
! Density = 4927 kg/m3


Record 3
! OsPb2Br | Alexandria via LeMat-Bulk | PBE-GGA | relaxed; values from VASP
&SYSTEM
  ibrav = 0, nat = 4, ntyp = 3
/
ATOMIC_SPECIES
Pb 207.20 Pb.upf
Os 190.23 Os.upf
Br 79.90 Br.upf
ATOMIC_POSITIONS crystal
Pb 0.0657 0.0657 0.0000
Pb 0.7490 0.2490 0.5000
Os 0.2232 0.7232 0.5000
Br 0.4621 0.4621 0.0000
CELL_PARAMETERS angstrom
-4.1638 7.1045 1.1394
-4.2737 5.7862 -4.1671
2.0040 -7.6450 2.5783
! Space group = Imm2
! Density = 10015 kg/m3
! Offset from the most stable computed form = 69 meV/atom


Record 4
! Ba3Tl6Hg2Pb | Alexandria via LeMat-Bulk | PBE-GGA | relaxed; values from VASP
&SYSTEM
  ibrav = 0, nat = 12, ntyp = 4
/
ATOMIC_SPECIES
Ba 137.33 Ba.upf
Tl 204.38 Tl.upf
Hg 200.59 Hg.upf
Pb 207.20 Pb.upf
ATOMIC_POSITIONS crystal
Ba 0.3333 0.6667 0.5931
Ba 0.6667 0.3333 0.4069
Ba 0.0000 0.0000 0.0000
Tl 0.6582 0.8291 0.2612
Tl 0.1709 0.3418 0.2612
Tl 0.1709 0.8291 0.2612
Tl 0.8291 0.6582 0.7388
Tl 0.3418 0.1709 0.7388
Tl 0.8291 0.1709 0.7388
Hg 0.6667 0.3333 0.0741
Hg 0.3333 0.6667 0.9259
Pb 0.0000 0.0000 0.5000
CELL_PARAMETERS angstrom
6.5759 0.0000 0.0000
-3.2879 5.6949 0.0000
0.0000 0.0000 11.4202
! Energy of formation from the pure elements = -0.2509 eV/atom
! Space group = P-3m1
! Density = 8723 kg/m3


Record 5
! Ti2HgH | Alexandria via LeMat-Bulk | PBE-GGA | relaxed; values from VASP
&SYSTEM
  ibrav = 0, nat = 4, ntyp = 3
/
ATOMIC_SPECIES
Ti 47.87 Ti.upf
Hg 200.59 Hg.upf
H 1.01 H.upf
ATOMIC_POSITIONS crystal
Ti 0.2087 0.4173 0.1612
Ti 0.7913 0.5827 0.8388
Hg 0.0000 0.0000 0.5000
H 0.5000 0.0000 0.0000
CELL_PARAMETERS angstrom
3.0085 0.0000 0.0000
-1.5042 2.6740 -0.2780
0.0000 -1.0742 7.2156
! Space group = C2/m
! Density = 8639 kg/m3
! Offset from the most stable computed form = 0 meV/atom


Record 6
! CsAgBi | Alexandria via LeMat-Bulk | PBE-GGA | relaxed; values from VASP
&SYSTEM
  ibrav = 0, nat = 3, ntyp = 3
/
ATOMIC_SPECIES
Cs 132.91 Cs.upf
Bi 208.98 Bi.upf
Ag 107.87 Ag.upf
ATOMIC_POSITIONS crystal
Cs 0.9949 0.9949 0.9897
Bi 0.2761 0.2761 0.5523
Ag 0.7290 0.7290 0.4580
CELL_PARAMETERS angstrom
-1.8880 3.6028 0.7588
-1.0689 0.2796 -3.9875
-4.3420 -5.2708 2.9412
! Energy of formation from the pure elements = -0.0749 eV/atom
! Space group = I4mm
! Density = 6382 kg/m3
! Offset from the most stable computed form = 80 meV/atom


Record 7
! MgGaSb2 | Alexandria via LeMat-Bulk | PBE-GGA | relaxed; values from VASP
&SYSTEM
  ibrav = 0, nat = 4, ntyp = 3
/
ATOMIC_SPECIES
Sb 121.76 Sb.upf
Mg 24.30 Mg.upf
Ga 69.72 Ga.upf
ATOMIC_POSITIONS crystal
Sb 0.0896 0.0896 0.7311
Sb 0.9104 0.9104 0.2689
Mg 0.0000 0.0000 0.0000
Ga 0.5000 0.5000 0.5000
CELL_PARAMETERS angstrom
-1.5713 0.5423 2.8522
1.1702 -1.2961 2.8016
5.9956 8.8434 3.5321
! Space group = R-3m
! Density = 5355 kg/m3
! Offset from the most stable computed form = 209 meV/atom


Record 8
! Th4Se5S2 | Alexandria via LeMat-Bulk | PBE-GGA | relaxed; values from VASP
&SYSTEM
  ibrav = 0, nat = 11, ntyp = 3
/
ATOMIC_SPECIES
Th 232.04 Th.upf
Se 78.96 Se.upf
S 32.06 S.upf
ATOMIC_POSITIONS crystal
Th 0.3582 0.4323 0.7164
Th 0.0023 0.1937 0.0046
Th 0.6418 0.5677 0.2836
Th 0.9977 0.8063 0.9954
Se 0.8351 0.2350 0.6702
Se 0.1649 0.7650 0.3298
Se 0.8272 0.6198 0.6543
Se 0.5000 0.0000 0.0000
Se 0.1728 0.3802 0.3457
S 0.5072 0.3511 0.0144
S 0.4928 0.6489 0.9856
CELL_PARAMETERS angstrom
-3.8002 -1.8185 1.2506
4.2279 -2.4401 9.2992
-1.2908 8.4488 0.6421
! Space group = C2/m
! Density = 6191 kg/m3
! Offset from the most stable computed form = 13 meV/atom


Record 9
! In4Re | Alexandria via LeMat-Bulk | PBE-GGA | relaxed; values from VASP
&SYSTEM
  ibrav = 0, nat = 5, ntyp = 2
/
ATOMIC_SPECIES
In 114.82 In.upf
Re 186.21 Re.upf
ATOMIC_POSITIONS crystal
In 0.7500 0.2500 0.5000
In 0.2500 0.7500 0.5000
In 0.5857 0.5857 0.0000
In 0.4143 0.4143 0.0000
Re 0.0000 0.0000 0.0000
CELL_PARAMETERS angstrom
-0.6669 -5.0394 6.9161
-5.6447 -3.2558 5.5865
2.8097 1.9781 -7.8655
! Energy of formation from the pure elements = 0.9410 eV/atom
! Space group = I4/mmm
! Density = 8860 kg/m3
! Offset from the most stable computed form = 799 meV/atom


Record 10
! PrGaCu2Pd2 | Alexandria via LeMat-Bulk | PBE-GGA | relaxed; values from VASP
&SYSTEM
  ibrav = 0, nat = 6, ntyp = 4
/
ATOMIC_SPECIES
Pr 140.91 Pr.upf
Ga 69.72 Ga.upf
Cu 63.55 Cu.upf
Pd 106.42 Pd.upf
ATOMIC_POSITIONS crystal
Pr 0.0000 0.0000 0.5000
Ga 0.0000 0.0000 0.0000
Cu 0.5000 0.5000 0.7405
Cu 0.5000 0.5000 0.2595
Pd 0.5000 0.0000 0.0000
Pd 0.0000 0.5000 0.0000
CELL_PARAMETERS angstrom
4.6672 0.0000 0.0000
0.0000 4.6672 0.0000
0.0000 0.0000 5.5773
! Energy of formation from the pure elements = -0.0594 eV/atom
! Space group = P4/mmm
! Density = 7525 kg/m3


Record 11
! Li3ScF6 | Alexandria via LeMat-Bulk | PBE-GGA | relaxed; values from VASP
&SYSTEM
  ibrav = 0, nat = 10, ntyp = 3
/
ATOMIC_SPECIES
Li 6.94 Li.upf
Sc 44.96 Sc.upf
F 19.00 F.upf
ATOMIC_POSITIONS crystal
Li 0.2500 0.2500 0.2500
Li 0.7500 0.7500 0.7500
Li 0.5000 0.5000 0.5000
Sc 0.0000 0.0000 0.0000
F 0.7478 0.2522 0.2522
F 0.7478 0.2522 0.7478
F 0.2522 0.7478 0.7478
F 0.2522 0.2522 0.7478
F 0.7478 0.7478 0.2522
F 0.2522 0.7478 0.2522
CELL_PARAMETERS angstrom
0.0000 3.9680 3.9680
3.9680 0.0000 3.9680
3.9680 3.9680 0.0000
! Space group = Fm-3m
! Density = 2389 kg/m3
! Offset from the most stable computed form = 233 meV/atom


Record 12
! La2AgP3Rh12 | Alexandria via LeMat-Bulk | PBE-GGA | relaxed; values from VASP
&SYSTEM
  ibrav = 0, nat = 18, ntyp = 4
/
ATOMIC_SPECIES
La 138.91 La.upf
Ag 107.87 Ag.upf
P 30.97 P.upf
Rh 102.91 Rh.upf
ATOMIC_POSITIONS crystal
La 0.6158 0.6158 0.6158
La 0.3842 0.3842 0.3842
Ag 0.0000 0.0000 0.0000
P 0.5000 0.0000 0.0000
P 0.0000 0.5000 0.0000
P 0.0000 0.0000 0.5000
Rh 0.3491 0.3491 0.9142
Rh 0.8273 0.8273 0.3479
Rh 0.3479 0.8273 0.8273
Rh 0.9142 0.3491 0.3491
Rh 0.8273 0.3479 0.8273
Rh 0.3491 0.9142 0.3491
Rh 0.6509 0.6509 0.0858
Rh 0.1727 0.1727 0.6521
Rh 0.6521 0.1727 0.1727
Rh 0.0858 0.6509 0.6509
Rh 0.1727 0.6521 0.1727
Rh 0.6509 0.0858 0.6509
CELL_PARAMETERS angstrom
6.6148 -1.2398 -0.8794
2.1887 6.3641 -0.8794
2.1887 1.2740 6.2970
! Energy of formation from the pure elements = -0.1881 eV/atom
! Space group = R-3m
! Density = 9429 kg/m3


Record 13
! KFeCo | Alexandria via LeMat-Bulk | PBE-GGA | relaxed; values from VASP
&SYSTEM
  ibrav = 0, nat = 3, ntyp = 3
/
ATOMIC_SPECIES
Co 58.93 Co.upf
Fe 55.84 Fe.upf
K 39.10 K.upf
ATOMIC_POSITIONS crystal
Co 0.9499 0.9499 0.0501
Fe 0.3870 0.3870 0.6130
K 0.6631 0.6631 0.3369
CELL_PARAMETERS angstrom
-2.2603 2.5680 5.6406
-1.8139 -0.4642 6.3256
2.6094 0.7417 1.5823
! Energy of formation from the pure elements = 0.7240 eV/atom
! Space group = I4mm
! Density = 4171 kg/m3
! Offset from the most stable computed form = 306 meV/atom


Record 14
! KCaMg2Pt | Alexandria via LeMat-Bulk | PBE-GGA | relaxed; values from VASP
&SYSTEM
  ibrav = 0, nat = 5, ntyp = 4
/
ATOMIC_SPECIES
Mg 24.30 Mg.upf
Ca 40.08 Ca.upf
K 39.10 K.upf
Pt 195.08 Pt.upf
ATOMIC_POSITIONS crystal
Mg 0.0000 0.5000 0.0000
Mg 0.5000 0.0000 0.0000
Ca 0.0000 0.0000 0.5000
K 0.5000 0.5000 0.5000
Pt 0.0000 0.0000 0.0000
CELL_PARAMETERS angstrom
-0.4729 5.2569 -0.0213
-2.9057 -0.2792 -4.3975
-4.5923 -0.4007 3.0599
! Energy of formation from the pure elements = -0.3561 eV/atom
! Space group = P4/mmm
! Density = 3478 kg/m3


Record 15
! LiFeGe | Alexandria via LeMat-Bulk | PBE-GGA | relaxed; values from VASP
&SYSTEM
  ibrav = 0, nat = 6, ntyp = 3
/
ATOMIC_SPECIES
Ge 72.64 Ge.upf
Fe 55.84 Fe.upf
Li 6.94 Li.upf
ATOMIC_POSITIONS crystal
Ge 0.2012 0.6844 0.9645
Ge 0.0004 0.1048 0.5640
Fe 0.7394 0.9629 0.0409
Fe 0.4615 0.8264 0.4874
Li 0.9489 0.5036 0.4561
Li 0.2529 0.2855 0.0723
CELL_PARAMETERS angstrom
-1.6377 -1.8150 1.6852
-1.9518 -3.6281 -5.8053
3.8519 -1.8610 -0.9011
! Energy of formation from the pure elements = -0.1680 eV/atom
! Space group = P-1
! Density = 5243 kg/m3


no.,M_tot (μB per atom)
1,0.271
2,0.770
3,0.000
4,0.000
5,0.155
6,0.000
7,0.000
8,0.056
9,0.001
10,0.000
11,0.000
12,0.000
13,1.419
14,0.000
15,0.654